This record from Alexandria describes a relaxed structure of NaSn2Br4. The functional is PBE.

abc: 7.7149 7.7149 7.2593
angles: 90.00 90.00 90.00
Closest atoms and distances in Å follow each position.
Space group I4/mmm (No. 139)
One atom of each set of equivalent atoms:
Na: 0.0000 0.0000 0.0000 (multiplicity 2)  4 Br 2.81
Sn: 0.0000 0.5000 0.2500 (multiplicity 4)  8 Br 3.28, 2 Sn 3.63
Br: 0.2423 0.2423 0.5000 (multiplicity 8)  1 Na 2.81

## Properties
ΔE_f (raw) = -0.70 eV per atom
size of the total moment = 0.00 μB per cell
calculated volume = 30.9 Å³ per atom



This record from Alexandria describes a relaxed structure of Na2SnBr2. The functional is PBE.

abc: 8.9391 8.9391 3.5003
angles: 90.00 90.00 90.00
Closest atoms and distances in Å follow each position.
Space group P4/mbm (No. 127)
One atom of each set of equivalent atoms:
Na: 0.1401 0.3599 0.0000 (multiplicity 4)  6 Br 3.14-3.16, 2 Sn 3.45, 2 Na 3.50
Sn: 0.0000 0.0000 0.0000 (multiplicity 2)  4 Na 3.45, 2 Sn 3.50, 8 Br 3.82
Br: 0.1518 0.6518 0.5000 (multiplicity 4)  6 Na 3.14-3.16, 2 Br 3.50

## Properties
ΔE_f (raw) = -0.69 eV per atom
size of the total moment = 0.00 μB per cell
calculated volume = 28.0 Å³ per atom
polymorph energy (0 for the lowest one) = 0.000 eV per atom